(1)
Material: VTcSb2S
Method: DFT, PBE
State: relaxed

The calculated total energy is -27.498 eV for the cell shown. For the uncorrected formation energy, the calculation gives 872 meV/atom. The value obtained for the calculated density is 6.09 g/cm³.

abc: 5.0750 4.4911 5.0750
angles: 90.00 90.00 90.00
With the nearest neighbours (Å) after each atom.
Atoms (fractional coordinates):
V (0.0000, 0.0000, 0.0000)  2 Tc 2.25
Sb (0.0000, 0.0000, 0.5000)  2 V 2.54
S (0.5000, 0.5000, 0.5000)  8 Sb 3.39, 4 Tc 3.59
Sb (0.5000, 0.0000, 0.0000)  2 V 2.54
Tc (0.0000, 0.5000, 0.0000)  2 V 2.25

=====

(2)
Material: Sb2TeS6
Method: DFT, PBE
State: relaxed

The calculated total energy is -70.343 eV for the cell shown. For the uncorrected formation energy, the calculation gives 109 meV/atom. The value obtained for the polymorph energy (0 for the lowest one) is 130 meV/atom. The value obtained for the calculated density is 4.05 g/cm³.

abc: 6.1627 6.1627 12.1601
angles: 90.00 90.00 90.00
With the nearest neighbours (Å) after each atom.
Atoms (fractional coordinates):
S (0.6942, 0.6942, 0.6681)  2 Sb 2.63-2.67, 1 Te 2.65
S (0.3058, 0.3058, 0.3319)  2 Sb 2.63-2.67, 1 Te 2.65
Sb (0.5000, 0.5000, 0.8335)  6 S 2.63-2.67
S (0.6942, 0.6942, 0.3319)  2 Sb 2.63-2.67, 1 Te 2.65
S (0.3057, 0.3057, 0.0000)  2 Sb 2.64, 1 Te 2.66
S (0.6943, 0.6943, 0.0000)  2 Sb 2.64, 1 Te 2.66
S (0.1943, 0.8057, 0.5000)  2 Sb 2.64, 1 Te 2.66
S (0.1942, 0.8058, 0.8319)  2 Sb 2.63-2.67, 1 Te 2.65
S (0.3058, 0.3058, 0.6681)  2 Sb 2.63-2.67, 1 Te 2.65
S (0.8058, 0.1942, 0.8319)  2 Sb 2.63-2.67, 1 Te 2.65
S (0.8057, 0.1943, 0.5000)  2 Sb 2.64, 1 Te 2.66
S (0.1942, 0.8058, 0.1681)  2 Sb 2.63-2.67, 1 Te 2.65
S (0.8058, 0.1942, 0.1681)  2 Sb 2.63-2.67, 1 Te 2.65
Te (0.5000, 0.5000, 0.5000)  6 S 2.65-2.66
Sb (0.0000, 0.0000, 0.3335)  6 S 2.63-2.67
Sb (0.0000, 0.0000, 0.6665)  6 S 2.63-2.67
Sb (0.5000, 0.5000, 0.1665)  6 S 2.63-2.67
Te (0.0000, 0.0000, 0.0000)  6 S 2.65-2.66